Dy5YSc4, relaxed, DFT PBE; excess energy over the best structure of this formula in the dataset = 0 meV/atom; crystal system = tetragonal; density of states at the Fermi level = 16.5 states/eV/f.u.; calculated formation energy = 4.65 kJ/mol of atoms; total magnetization = 0.000 μB/atom; uncorrected energy = -54.32 eV/cell; space-group type = P4/mmm
1.0
-3.270 -1.170 -0.226
1.140 -2.880 -1.586
2.347 -10.610 20.948
Dy Y Sc
5 1 4
Cartesian
-0.810 -3.176 1.366
-0.350 -5.257 5.474
0.109 -7.330 9.568
0.567 -9.403 13.661
1.028 -11.484 17.769
0.000 0.000 0.000
0.485 -2.190 4.325
0.944 -4.268 8.426
1.403 -6.342 12.522
1.862 -8.420 16.623